No. 1
RbNa2Cl | PBE-GGA | optimized geometry

Summary:
Excess energy over the best structure of this formula in the dataset: 0.031 eV/atom
Raw formation energy: -695 meV per atom

a b c (Å): 8.650 8.650 11.881
angles (deg): 90.00 90.00 90.00
Space group I-42d (No. 122)
Symmetry-distinct sites (fractional):
Rb 0.000 0.000 0.000 x4
Na 0.056 0.250 0.625 x8
Cl 0.000 0.000 0.500 x4

---

No. 2
Rb2NaCl | PBE-GGA | optimized geometry

Summary:
Excess energy over the best structure of this formula in the dataset: 0.061 eV/atom
Raw formation energy: -829 meV per atom

a b c (Å): 9.572 9.572 10.742
angles (deg): 90.00 90.00 90.00
Space group I-42d (No. 122)
Symmetry-distinct sites (fractional):
Rb 0.166 0.750 0.125 x8
Na 0.000 0.000 0.500 x4
Cl 0.000 0.000 0.000 x4

---

No. 3
RbNa2Cl2 | PBE-GGA | optimized geometry

Summary:
Excess energy over the best structure of this formula in the dataset: 0.000 eV/atom
Raw formation energy: -1312 meV per atom

a b c (Å): 5.299 5.299 12.100
angles (deg): 90.00 90.00 90.00
Space group I4/mmm (No. 139)
Symmetry-distinct sites (fractional):
Rb 0.000 0.000 0.000 x2
Na 0.000 0.000 0.326 x4
Cl 0.000 0.500 0.250 x4

---

Question: Among the records above, which one has the highest excess energy over the best structure of this formula in the dataset?
Answer: Rb2NaCl

---

Question: The lowest excess energy over the best structure of this formula in the dataset belongs to which entry?
Answer: RbNa2Cl2

---

Question: Among the records above, which one has the lowest raw formation energy?
Answer: RbNa2Cl2

---

Question: The highest raw formation energy belongs to which entry?
Answer: RbNa2Cl